Computed, not measured: crystalline Tm3NiAg at its relaxed geometry at the PBE-GGA level of DFT.

Cell: 5.259 6.516 8.420 Å, 112.23 90.00 113.80°
Positions (direct):
Tm 0.901 0.803 0.767
Tm 0.099 0.197 0.233
Tm 0.604 0.207 0.883
Tm 0.396 0.793 0.117
Tm 0.818 0.637 0.329
Tm 0.182 0.363 0.671
Ni 0.151 0.303 0.963
Ni 0.849 0.697 0.037
Ag 0.387 0.773 0.527
Ag 0.613 0.227 0.473

Properties
- Energy of formation: -23 kJ per mole of atoms
- Magnetic moment: 0.000 μB/f.u.
- E: -23.24 eV per formula unit
- Distance to the lowest polymorph of the same formula: 41.8 meV per atom
- SG: C2/m


Computed, not measured: crystalline YLuTe3 at its relaxed geometry at the PBE-GGA level of DFT.

Cell: 8.992 9.858 4.008 Å, 90.00 63.54 90.00°
Positions (direct):
Y 0.070 0.250 0.679
Y 0.930 0.750 0.321
Lu 0.635 0.250 0.115
Lu 0.365 0.750 0.885
Te 0.168 0.927 0.582
Te 0.832 0.073 0.418
Te 0.168 0.573 0.582
Te 0.832 0.427 0.418
Te 0.360 0.250 0.890
Te 0.640 0.750 0.110

Properties
- Magnetic moment: 0.000 μB/f.u.
- E: -26.52 eV per formula unit
- ΔE_f (raw): -1.223 eV/atom
- Distance to the lowest polymorph of the same formula: 168.2 meV per atom
- SG: Pmmn


Computed, not measured: crystalline La8HC3Br3 at its relaxed geometry at the PBE-GGA level of DFT.

Cell: 7.767 7.774 8.716 Å, 116.54 89.99 119.98°
Positions (direct):
La 0.270 0.539 0.309
La 0.730 0.461 0.691
La 0.756 0.512 0.305
La 0.244 0.488 0.695
La 0.756 0.049 0.305
La 0.244 0.951 0.695
La 0.293 0.049 0.305
La 0.707 0.951 0.695
H 0.000 0.000 0.500
C 0.500 0.000 0.500
C 0.500 0.500 0.500
C 0.000 0.500 0.500
Br 0.000 0.000 0.000
Br 0.000 0.500 0.000
Br 0.500 0.500 0.000

Properties
- Magnetic moment: 0.000 μB/f.u.
- E: -86.20 eV per formula unit
- SG: C2/m


Computed, not measured: crystalline GaRh2Au at its relaxed geometry at the PBE-GGA level of DFT.

Cell: 2.989 2.989 6.773 Å, 90.00 90.00 90.00°
Positions (direct):
Rh 0.000 0.000 0.783
Rh 0.000 0.000 0.217
Au 0.500 0.500 0.500
Ga 0.500 0.500 0.000

Properties
- Energy of formation: -27 kJ per mole of atoms
- Magnetic moment: 0.000 μB/f.u.
- E: -22.13 eV per formula unit
- SG: P4/mmm


Computed, not measured: crystalline TaAlOs at its relaxed geometry at the PBE-GGA level of DFT.

Cell: 4.344 4.344 2.906 Å, 90.00 90.00 120.00°
Positions (direct):
Os 0.667 0.333 0.281
Al 0.000 0.000 0.097
Ta 0.333 0.667 0.622

Properties
- Energy of formation: -27 kJ per mole of atoms
- Magnetic moment: 0.000 μB/f.u.
- E: -27.67 eV per formula unit
- SG: P3m1


Computed, not measured: crystalline Cr2NiMo at its relaxed geometry at the PBE-GGA level of DFT.

Cell: 4.178 4.178 4.178 Å, 60.00 60.00 60.00°
Site moments in Bohr magnetons follow the coordinates.
Positions (direct):
Cr 0.000 0.000 0.000  2.04
Cr 0.750 0.750 0.750  -0.71
Mo 0.500 0.500 0.500  0.22
Ni 0.250 0.250 0.250  0.24

Properties
- Energy of formation: 21 kJ per mole of atoms
- Magnetic moment: 1.913 μB/f.u.
- E: -35.01 eV per formula unit
- SG: F-43m